1.
The following is a GGA-PBE calculation of Ba3Sr6Zn after structural relaxation, from Alexandria via LeMat-Bulk.

M_tot in μB/f.u.: 0.014
Formation enthalpy at 0 K in eV per atom: 0.0001

CIF file:
```
data_Ba3Sr6Zn
_chemical_formula_sum 'Ba3 Sr6 Zn1'
_symmetry_space_group_name_H-M 'P -3 m 1'
_symmetry_Int_Tables_number 164
_symmetry_space_group_name_Hall '-P 3 2"'
_cell_length_a 4.3484
_cell_length_b 4.3484
_cell_length_c 32.8828
_cell_angle_alpha 90.00
_cell_angle_beta 90.00
_cell_angle_gamma 120.00
loop_
_atom_site_label
_atom_site_type_symbol
_atom_site_fract_x
_atom_site_fract_y
_atom_site_fract_z
Ba1 Ba 0.0000 0.0000 0.0000
Ba2 Ba 0.0000 0.0000 0.3235
Sr1 Sr 0.3333 0.6667 0.1096
Sr2 Sr 0.3333 0.6667 0.4362
Sr3 Sr 0.3333 0.6667 0.7855
Zn1 Zn 0.0000 0.0000 0.5000
```

2.
The following is a GGA-PBE calculation of Ce10PuAu6 after structural relaxation, from Alexandria via LeMat-Bulk.

M_tot in μB/f.u.: 5.308
Formation enthalpy at 0 K in eV per atom: -0.4847

CIF file:
```
data_Ce10PuAu6
_chemical_formula_sum 'Ce10 Pu1 Au6'
_symmetry_space_group_name_H-M 'P -3 1 m'
_symmetry_Int_Tables_number 162
_symmetry_space_group_name_Hall '-P 3 2'
_cell_length_a 8.9991
_cell_length_b 8.9991
_cell_length_c 6.2076
_cell_angle_alpha 90.00
_cell_angle_beta 90.00
_cell_angle_gamma 120.00
loop_
_atom_site_label
_atom_site_type_symbol
_atom_site_fract_x
_atom_site_fract_y
_atom_site_fract_z
Ce1 Ce 0.0000 0.2273 0.2248
Ce2 Ce 0.3333 0.6667 0.0000
Ce3 Ce 0.3333 0.6667 0.5000
Pu1 Pu 0.0000 0.0000 0.0000
Au1 Au 0.0000 0.4131 0.7434
```

3.
The following is a GGA-PBE calculation of Cd3NiAu after structural relaxation, from Alexandria via LeMat-Bulk.

M_tot in μB/f.u.: 0.000
Relative energy among the computed polymorphs in meV per atom: 0
Formation enthalpy at 0 K in eV per atom: -0.0523

CIF file:
```
data_Cd3NiAu
_chemical_formula_sum 'Cd12 Ni4 Au4'
_symmetry_space_group_name_H-M 'C m c m'
_symmetry_Int_Tables_number 63
_symmetry_space_group_name_Hall '-C 2c 2'
_cell_length_a 4.2100
_cell_length_b 9.1826
_cell_length_c 9.8400
_cell_angle_alpha 90.00
_cell_angle_beta 90.00
_cell_angle_gamma 90.00
loop_
_atom_site_label
_atom_site_type_symbol
_atom_site_fract_x
_atom_site_fract_y
_atom_site_fract_z
Cd1 Cd 0.0000 0.0946 0.2500
Cd2 Cd 0.0000 0.1992 0.5971
Ni1 Ni 0.0000 0.3928 0.2500
Au1 Au 0.0000 0.5000 0.0000
```

4.
The following is a GGA-PBE calculation of YBeNi after structural relaxation, from Alexandria via LeMat-Bulk.

M_tot in μB/f.u.: 0.000
Relative energy among the computed polymorphs in meV per atom: 993
Formation enthalpy at 0 K in eV per atom: 0.7178

CIF file:
```
data_YBeNi
_chemical_formula_sum 'Y4 Be4 Ni4'
_symmetry_space_group_name_H-M 'F -4 3 m'
_symmetry_Int_Tables_number 216
_symmetry_space_group_name_Hall 'F -4 2 3'
_cell_length_a 6.2775
_cell_length_b 6.2775
_cell_length_c 6.2775
_cell_angle_alpha 90.00
_cell_angle_beta 90.00
_cell_angle_gamma 90.00
loop_
_atom_site_label
_atom_site_type_symbol
_atom_site_fract_x
_atom_site_fract_y
_atom_site_fract_z
Y1 Y 0.0000 0.0000 0.0000
Be1 Be 0.2500 0.2500 0.2500
Ni1 Ni 0.2500 0.2500 0.7500
```

5.
The following is a GGA-PBE calculation of Sn3HgSb after structural relaxation, from Alexandria via LeMat-Bulk.

M_tot in μB/f.u.: 0.000
Formation energy (no corrections) in kJ per mole of atoms: 29
Relative energy among the computed polymorphs in meV per atom: 0

CIF file:
```
data_Sn3HgSb
_chemical_formula_sum 'Sn12 Hg4 Sb4'
_symmetry_space_group_name_H-M 'C m c m'
_symmetry_Int_Tables_number 63
_symmetry_space_group_name_Hall '-C 2c 2'
_cell_length_a 6.5938
_cell_length_b 24.3663
_cell_length_c 5.6899
_cell_angle_alpha 90.00
_cell_angle_beta 90.00
_cell_angle_gamma 90.00
loop_
_atom_site_label
_atom_site_type_symbol
_atom_site_fract_x
_atom_site_fract_y
_atom_site_fract_z
Sn1 Sn 0.0000 0.0000 0.0000
Sn2 Sn 0.2360 0.2944 0.2500
Hg1 Hg 0.0000 0.1070 0.7500
Sb1 Sb 0.0000 0.3050 0.7500
```

6.
The following is a GGA-PBE calculation of SbTePt2 after structural relaxation, from Alexandria via LeMat-Bulk.

M_tot in μB/f.u.: 0.000
Formation energy (no corrections) in kJ per mole of atoms: 0

CIF file:
```
data_SbTePt2
_chemical_formula_sum 'Sb4 Te4 Pt8'
_symmetry_space_group_name_H-M 'F m -3 m'
_symmetry_Int_Tables_number 225
_symmetry_space_group_name_Hall '-F 4 2 3'
_cell_length_a 6.8603
_cell_length_b 6.8603
_cell_length_c 6.8603
_cell_angle_alpha 90.00
_cell_angle_beta 90.00
_cell_angle_gamma 90.00
loop_
_atom_site_label
_atom_site_type_symbol
_atom_site_fract_x
_atom_site_fract_y
_atom_site_fract_z
Sb1 Sb 0.0000 0.0000 0.0000
Te1 Te 0.0000 0.0000 0.5000
Pt1 Pt 0.2500 0.2500 0.2500
```

7.
The following is a GGA-PBE calculation of Co4PBr after structural relaxation, from Alexandria via LeMat-Bulk.

M_tot in μB/f.u.: 6.998
Formation energy (no corrections) in kJ per mole of atoms: 72

CIF file:
```
data_Co4PBr
_chemical_formula_sum 'Co16 P4 Br4'
_symmetry_space_group_name_H-M 'F -4 3 m'
_symmetry_Int_Tables_number 216
_symmetry_space_group_name_Hall 'F -4 2 3'
_cell_length_a 6.9087
_cell_length_b 6.9087
_cell_length_c 6.9087
_cell_angle_alpha 90.00
_cell_angle_beta 90.00
_cell_angle_gamma 90.00
loop_
_atom_site_label
_atom_site_type_symbol
_atom_site_fract_x
_atom_site_fract_y
_atom_site_fract_z
Co1 Co 0.1238 0.1238 0.1238
P1 P 0.2500 0.2500 0.7500
Br1 Br 0.0000 0.0000 0.5000
```

8.
The following is a GGA-PBE calculation of AcLa2SmSb4 after structural relaxation, from Alexandria via LeMat-Bulk.

M_tot in μB/f.u.: 0.000
Formation energy (no corrections) in kJ per mole of atoms: -118

CIF file:
```
data_AcLa2SmSb4
_chemical_formula_sum 'Ac1 La2 Sm1 Sb4'
_symmetry_space_group_name_H-M 'P 1 2/m 1'
_symmetry_Int_Tables_number 10
_cell_length_a 8.0233
_cell_length_b 4.6391
_cell_length_c 8.0292
_cell_angle_alpha 90.00
_cell_angle_beta 109.44
_cell_angle_gamma 90.00
loop_
_symmetry_equiv_pos_as_xyz
'x,y,z'
'-x,-y,-z'
'-x,y,-z'
'x,-y,z'
loop_
_atom_site_label
_atom_site_type_symbol
_atom_site_fract_x
_atom_site_fract_y
_atom_site_fract_z
Ac1 Ac 0.0000 0.0000 0.0000
La1 La 0.5000 0.0000 0.5000
La2 La 0.5000 0.5000 0.0000
Sm1 Sm 0.0000 0.5000 0.5000
Sb1 Sb 0.2482 0.0000 0.7416
Sb2 Sb 0.2541 0.5000 0.2596
```

9.
The following is a GGA-PBE calculation of YHo5TmSc2 after structural relaxation, from Alexandria via LeMat-Bulk.

M_tot in μB/f.u.: 0.000
Formation enthalpy at 0 K in eV per atom: 0.1828

CIF file:
```
data_YHo5TmSc2
_chemical_formula_sum 'Y4 Ho20 Tm4 Sc8'
_symmetry_space_group_name_H-M 'C m c 21'
_symmetry_Int_Tables_number 36
_cell_length_a 5.4422
_cell_length_b 19.5936
_cell_length_c 10.3201
_cell_angle_alpha 90.00
_cell_angle_beta 90.00
_cell_angle_gamma 90.00
loop_
_symmetry_equiv_pos_as_xyz
'x,y,z'
'-x,-y,z+1/2'
'-x,y,z'
'x,-y,z+1/2'
'x+1/2,y+1/2,z'
'-x+1/2,-y+1/2,z+1/2'
'-x+1/2,y+1/2,z'
'x+1/2,-y+1/2,z+1/2'
loop_
_atom_site_label
_atom_site_type_symbol
_atom_site_fract_x
_atom_site_fract_y
_atom_site_fract_z
Y1 Y 0.0000 0.1952 0.0000
Ho1 Ho 0.0000 0.0133 0.0089
Ho2 Ho 0.0000 0.2781 0.2993
Ho3 Ho 0.0000 0.3013 0.6963
Ho4 Ho 0.0000 0.3876 0.0117
Ho5 Ho 0.0000 0.4780 0.7267
Tm1 Tm 0.0000 0.4117 0.4385
Sc1 Sc 0.0000 0.1107 0.7293
Sc2 Sc 0.0000 0.1130 0.2984
```

10.
The following is a GGA-PBE calculation of Ba3Zn3Pb after structural relaxation, from Alexandria via LeMat-Bulk.

M_tot in μB/f.u.: 0.000
Formation enthalpy at 0 K in eV per atom: -0.2655

CIF file:
```
data_Ba3Zn3Pb
_chemical_formula_sum 'Ba6 Zn6 Pb2'
_symmetry_space_group_name_H-M 'P 63/m'
_symmetry_Int_Tables_number 176
_symmetry_space_group_name_Hall '-P 6c'
_cell_length_a 11.3815
_cell_length_b 11.3815
_cell_length_c 4.5172
_cell_angle_alpha 90.00
_cell_angle_beta 90.00
_cell_angle_gamma 120.00
loop_
_atom_site_label
_atom_site_type_symbol
_atom_site_fract_x
_atom_site_fract_y
_atom_site_fract_z
Ba1 Ba 0.0979 0.6950 0.2500
Zn1 Zn 0.0309 0.8811 0.7500
Pb1 Pb 0.3333 0.6667 0.7500
```

Number 1: volume 538 Å³ per cell. Number 2: volume 435 Å³ per cell. Number 3: volume 380 Å³ per cell. Number 4: volume 247 Å³ per cell. Number 5: volume 914 Å³ per cell. Number 6: volume 323 Å³ per cell. Number 7: volume 330 Å³ per cell. Number 8: volume 282 Å³ per cell. Number 9: volume 1100 Å³ per cell. Number 10: volume 507 Å³ per cell.